# CeP4

A relaxed CeP4 crystal (PBE-GGA, the Alexandria database).

a = 5.2620 Å, b = 5.2620 Å, c = 5.2620 Å
α = 90.00°, β = 90.00°, γ = 90.00°
Last column: nearest neighbours and their distance in Å.
Sites, in units of the cell vectors:
Ce 0.0000 0.0000 0.0000  6 P 2.63
P 0.0000 0.0000 0.5000  2 Ce 2.63
P 0.0000 0.5000 0.0000  2 Ce 2.63
P 0.5000 0.0000 0.0000  2 Ce 2.63
P 0.5000 0.5000 0.5000  12 P 3.72

Properties
- Fermi-level density of states: 5.97 states/eV/f.u.
- Symmetry: No. 221
- Formation energy from the elements: 5.90 eV per formula unit
- Relative energy among the computed polymorphs: 1607 meV per atom